#i
HoMgTlRh after structural relaxation, computed with PBE-GGA.

The space group is F-43m (No. 216) and the conventional cell measures 6.951, 6.951 and 6.951 Å, with angles of 90.00, 90.00 and 90.00 degrees. The inequivalent atoms are Ho at (0.000, 0.000, 0.000), Mg at (0.000, 0.000, 0.500), Tl at (0.250, 0.250, 0.250) and Rh at (0.250, 0.250, 0.750).

For the magnetization, the calculation gives 0.000 μB per cell.

=====

#ii
HoMgTlRh after structural relaxation, computed with PBE-GGA.

The space group is P4mm (No. 99) and the conventional cell measures 3.304, 3.304 and 7.867 Å, with angles of 90.00, 90.00 and 90.00 degrees. The inequivalent atoms are Ho at (0.000, 0.000, 0.000), Mg at (0.000, 0.000, 0.596), Tl at (0.500, 0.500, 0.320) and Rh at (0.500, 0.500, 0.787).

For the magnetization, the calculation gives 0.000 μB per cell.

=====

What are the relative energies? In meV per atom: #i 119; #ii 0.

=====

#i
Ho2MgS after structural relaxation, computed with PBE-GGA.

The space group is R3m (No. 160, hexagonal axes) and the conventional cell measures 3.7257, 3.7257 and 25.6419 Å, with angles of 90.00, 90.00 and 120.00 degrees. The inequivalent atoms are Ho at (0.0000, 0.0000, 0.0000), Ho at (0.0000, 0.0000, 0.2071), Mg at (0.0000, 0.0000, 0.4367) and S at (0.0000, 0.0000, 0.6042).

For the magnetization, the calculation gives 0.000 μB per cell.

=====

#ii
Ho2MgS after structural relaxation, computed with PBE-GGA.

The space group is R-3m (No. 166, hexagonal axes) and the conventional cell measures 3.6415, 3.6415 and 29.2889 Å, with angles of 90.00, 90.00 and 120.00 degrees. The inequivalent atoms are Ho at (0.0000, 0.0000, 0.1106), Mg at (0.0000, 0.0000, 0.0000) and S at (0.0000, 0.0000, 0.5000).

For the magnetization, the calculation gives 0.000 μB per cell.

=====

What are the relative energies? In meV per atom: #i 0; #ii 245.

=====

#i
HoMgS3 after structural relaxation, computed with PBE-GGA.

The space group is R-3 (No. 148, hexagonal axes) and the conventional cell measures 6.7558, 6.7558 and 17.4431 Å, with angles of 90.00, 90.00 and 120.00 degrees. The inequivalent atoms are Ho at (0.0000, 0.0000, 0.1503), Mg at (0.0000, 0.0000, 0.3491) and S at (0.0128, 0.6990, 0.2520).

For the magnetization, the calculation gives 0.010 μB per cell.

=====

#ii
HoMgS3 after structural relaxation, computed with PBE-GGA.

The space group is C2/m (No. 12) and the conventional cell measures 7.688, 11.483 and 6.760 Å, with angles of 90.00, 120.18 and 90.00 degrees. The inequivalent atoms are Ho at (0.218, 0.000, 0.251), Mg at (0.000, 0.339, 0.000), S at (0.078, 0.150, 0.851) and S at (0.084, 0.500, 0.292).

For the magnetization, the calculation gives 4.035 μB per cell.

=====

What are the relative energies? In meV per atom: #i 0; #ii 84.

=====

#i
HoMgSb2 after structural relaxation, computed with PBE-GGA.

The space group is R-3m (No. 166, hexagonal axes) and the conventional cell measures 4.3354, 4.3354 and 20.8909 Å, with angles of 90.00, 90.00 and 120.00 degrees. The inequivalent atoms are Ho at (0.0000, 0.0000, 0.0000), Mg at (0.0000, 0.0000, 0.5000) and Sb at (0.0000, 0.0000, 0.2468).

For the magnetization, the calculation gives 0.000 μB per cell.

=====

#ii
HoMgSb2 after structural relaxation, computed with PBE-GGA.

The space group is P4/mmm (No. 123) and the conventional cell measures 4.970, 4.970 and 4.097 Å, with angles of 90.00, 90.00 and 90.00 degrees. The inequivalent atoms are Ho at (0.000, 0.000, 0.000), Mg at (0.500, 0.500, 0.000) and Sb at (0.000, 0.500, 0.500).

For the magnetization, the calculation gives 0.000 μB per cell.

=====

#iii
HoMgSb2 after structural relaxation, computed with PBE-GGA.

The space group is R3m (No. 160, hexagonal axes) and the conventional cell measures 4.4434, 4.4434 and 20.0635 Å, with angles of 90.00, 90.00 and 120.00 degrees. The inequivalent atoms are Ho at (0.0000, 0.0000, 0.0000), Mg at (0.0000, 0.0000, 0.1714), Sb at (0.0000, 0.0000, 0.4191) and Sb at (0.0000, 0.0000, 0.5821).

For the magnetization, the calculation gives 0.000 μB per cell.

=====

#iv
HoMgSb2 after structural relaxation, computed with PBE-GGA.

The space group is P4/nmm (No. 129, origin choice 2) and the conventional cell measures 4.382, 4.382 and 10.741 Å, with angles of 90.00, 90.00 and 90.00 degrees. The inequivalent atoms are Ho at (0.250, 0.250, 0.216), Mg at (0.250, 0.750, 0.500), Sb at (0.250, 0.250, 0.684) and Sb at (0.250, 0.750, 0.000).

For the magnetization, the calculation gives 0.000 μB per cell.

=====

What are the relative energies? In meV per atom: #i 69; #ii 88; #iii 44; #iv 0.